Density functional theory data (PBE) for a relaxed LaYCoCu crystal.

E above lowest polymorph: 0.00 eV per formula unit
Total DFT energy (no corrections): -5.807 eV/atom
Space group: Amm2
ρ: 6.58 g/cm3
Calculated volume: 88 Å³ per cell

```
LaYCoCu
1.0
-0.583 -3.759 0.732
3.935 -0.311 1.541
-1.535 3.119 4.549
La Y Co Cu
1 1 1 1
Direct
0.862 0.500 0.724
0.136 0.000 0.273
0.430 0.000 0.861
0.571 0.500 0.142
```